TaCo2F | PBE+U | optimized geometry

ΔE to the lowest computed polymorph = 0 meV per atom
Magnetization = 4.54 Bohr magnetons per cell
Electronic total energy = -46.02 eV per cell

```
TaCo2F
1.0
-1.5584 -0.1440 -6.4916
-4.6227 -4.6635 1.2132
-4.6972 -0.7205 -2.2908
Ta F Co
2 2 4
direct
0.0000 0.0000 0.0000
0.7500 0.2500 0.5000
0.2500 0.7500 0.5000
0.5000 0.5000 0.0000
0.8750 0.8342 0.7500
0.3750 0.4158 0.7500
0.5842 0.1250 0.2500
0.1658 0.6250 0.2500
```


TaCoF2 | PBE+U | optimized geometry

ΔE to the lowest computed polymorph = 1008 meV per atom
Magnetization = 1.73 Bohr magnetons per cell
Electronic total energy = -41.70 eV per cell

```
TaCoF2
1.0
5.0915 0.0000 0.0000
0.0000 5.0915 0.0000
2.5458 2.5458 4.3715
F Ta Co
4 2 2
direct
0.3750 0.3981 0.7500
0.6019 0.1250 0.2500
0.8750 0.8519 0.7500
0.1481 0.6250 0.2500
0.7500 0.2500 0.5000
0.0000 0.0000 0.0000
0.2500 0.7500 0.5000
0.5000 0.5000 0.0000
```


Ta2CoF4 | PBE+U | optimized geometry

Magnetization = 1.94 Bohr magnetons per cell
Electronic total energy = -40.29 eV per cell

```
Ta2CoF4
1.0
-2.3036 -2.8664 -0.0250
0.3686 -0.3280 3.6442
-8.1271 4.1458 3.0505
F Ta Co
4 2 1
direct
0.5000 0.0000 0.0000
0.7129 0.7129 0.5741
0.0000 0.5000 0.0000
0.2871 0.2871 0.4259
0.6150 0.6150 0.7701
0.3850 0.3850 0.2299
0.0000 0.0000 0.0000
```


Ta2Co2F | PBE+U | optimized geometry

ΔE to the lowest computed polymorph = 322 meV per atom
Magnetization = 0.00 Bohr magnetons per cell
Electronic total energy = -32.69 eV per cell

```
Ta2Co2F
1.0
4.2220 0.0000 0.0000
0.0000 4.2220 0.0000
2.1110 2.1110 4.5038
F Co Ta
1 2 2
direct
0.0000 0.0000 0.0000
0.3816 0.3816 0.2369
0.6184 0.6184 0.7631
0.7500 0.2500 0.5000
0.2500 0.7500 0.5000
```


TaCoF2 | PBE+U | optimized geometry

ΔE to the lowest computed polymorph = 42 meV per atom
Magnetization = 2.29 Bohr magnetons per cell
Electronic total energy = -24.72 eV per cell

```
TaCoF2
1.0
1.6049 0.0000 9.2636
-0.8024 1.3898 9.2636
-0.8024 -1.3898 9.2636
Ta F Co
1 2 1
direct
0.5000 0.5000 0.5000
0.8893 0.8893 0.8893
0.1107 0.1107 0.1107
0.0000 0.0000 0.0000
```


TaCo2F | PBE+U | optimized geometry

ΔE to the lowest computed polymorph = 439 meV per atom
Magnetization = 0.00 Bohr magnetons per cell
Electronic total energy = -21.25 eV per cell

```
TaCo2F
1.0
0.0000 2.9076 2.9076
2.9076 0.0000 2.9076
2.9076 2.9076 0.0000
Co F Ta
2 1 1
direct
0.7500 0.7500 0.7500
0.2500 0.2500 0.2500
0.0000 0.0000 0.0000
0.5000 0.5000 0.5000
```


Ta2CoTeF | PBE+U | optimized geometry

Magnetization = 2.15 Bohr magnetons per cell
Electronic total energy = -31.69 eV per cell

```
Ta2CoTeF
1.0
-2.2962 0.2139 -3.4998
-3.5224 -3.0635 2.1239
-2.0020 3.3545 1.5185
Co F Ta Te
1 1 2 1
direct
0.5000 0.5000 0.5000
0.0000 0.0000 0.0000
0.5000 0.0000 0.0000
0.0000 0.0000 0.5000
0.0000 0.5000 0.0000
```


TaZnCo2F | PBE+U | optimized geometry

Magnetization = 3.21 Bohr magnetons per cell
Electronic total energy = -23.49 eV per cell

```
TaZnCo2F
1.0
4.0417 0.0000 0.0000
0.0000 4.3723 0.0000
0.0000 0.0000 4.0417
Zn Ta Co F
1 1 2 1
direct
0.0000 0.5000 0.0000
0.5000 0.5000 0.5000
0.5000 0.0000 0.0000
0.0000 0.0000 0.5000
0.0000 0.0000 0.0000
```


TbCoF | PBE+U | optimized geometry

Magnetization = 2.17 Bohr magnetons per cell
Electronic total energy = -31.47 eV per cell

```
TbCoF
1.0
-1.2862 2.7473 1.3203
-1.4476 -1.8117 2.3595
6.6526 0.8423 4.7284
F Tb Co
2 2 2
direct
0.5000 0.0000 0.0843
0.0000 0.5000 0.9157
0.5000 0.0000 0.7790
0.0000 0.5000 0.2210
0.5000 0.0000 0.4501
0.0000 0.5000 0.5499
```


TbCoF5 | PBE+U | optimized geometry

Magnetization = 6.00 Bohr magnetons per cell
Electronic total energy = -83.81 eV per cell

```
TbCoF5
1.0
5.3244 -0.0679 1.9161
1.1201 5.2057 1.9161
-0.0603 -0.0481 7.6133
F Tb Co
10 2 2
direct
0.7360 0.7849 0.6248
0.2151 0.2640 0.8752
0.7849 0.7360 0.1248
0.8893 0.1107 0.2500
0.3228 0.6953 0.0348
0.1107 0.8893 0.7500
0.6772 0.3047 0.9652
0.6953 0.3228 0.5348
0.2640 0.2151 0.3752
0.3047 0.6772 0.4652
0.5537 0.4463 0.2500
0.4463 0.5537 0.7500
0.0000 0.0000 0.5000
0.0000 0.0000 0.0000
```


TbTlCoF6 | PBE+U | optimized geometry

Magnetization = 6.00 Bohr magnetons per cell
Electronic total energy = -98.91 eV per cell

```
TbTlCoF6
1.0
-5.4073 3.8310 3.8101
-4.8869 -5.1606 -1.7466
6.3510 -1.9399 3.2958
F Tb Tl Co
12 2 2 2
direct
0.8611 0.1111 0.7221
0.5630 0.3813 0.7338
0.4370 0.6187 0.2662
0.1389 0.8889 0.2779
0.1707 0.8525 0.7338
0.8293 0.6187 0.2662
0.1707 0.3813 0.7338
0.8293 0.1475 0.2662
0.5974 0.8474 0.1949
0.5630 0.8525 0.7338
0.4026 0.1526 0.8051
0.4370 0.1475 0.2662
0.5000 0.0000 0.5000
0.0000 0.0000 0.5000
0.8421 0.5921 0.6842
0.1579 0.4079 0.3158
0.5000 0.0000 0.0000
0.5000 0.5000 0.0000
```


TbTl2Co3F12 | PBE+U | optimized geometry

Magnetization = 10.00 Bohr magnetons per cell
Electronic total energy = -90.97 eV per cell

```
TbTl2Co3F12
1.0
-1.3419 4.3958 5.6776
-4.6375 -2.3926 5.1116
2.7882 -1.8940 6.4805
F Co Tl Tb
12 3 2 1
direct
0.9095 0.2887 0.2887
0.1059 0.6332 0.1059
0.7113 0.0905 0.7113
0.6332 0.1059 0.1059
0.2887 0.9095 0.2887
0.0905 0.7113 0.7113
0.2887 0.2887 0.9095
0.3668 0.8941 0.8941
0.7113 0.7113 0.0905
0.1059 0.1059 0.6332
0.8941 0.8941 0.3668
0.8941 0.3668 0.8941
0.0000 0.0000 0.5000
0.5000 0.0000 0.0000
0.0000 0.5000 0.0000
0.6205 0.6205 0.6205
0.3795 0.3795 0.3795
0.0000 0.0000 0.0000
```